DFT (GGA-PBE) results for a relaxed structure of BaNa2ZrSn.

Output
ΔE_f, eV/atom: 0.281
Space group: P4/mmm
DOS(E_F), states/eV per cell: 3.4

The structure in POSCAR format:
```
BaNa2ZrSn
1.0
-4.6438 -1.7464 -2.9580
-2.5532 -1.5020 4.8951
-2.2707 5.2930 0.4398
Zr Na Sn Ba
1 2 1 1
Cartesian
-1.2766 -0.7510 2.4475
-2.3219 -0.8732 -1.4790
-1.1353 2.6465 0.2199
0.0000 0.0000 0.0000
-4.7338 1.0223 1.1884
```



DFT (GGA-PBE) results for a relaxed structure of BaTmO3.

Output
Raw total energy, eV per cell: -35.150
Space group: P1
DOS(E_F), states/eV per cell: 3.6

The structure in POSCAR format:
```
BaTmO3
1.0
-1.1114 4.0752 -1.1521
-3.8662 -1.4623 -1.4429
-1.7278 0.6511 3.9697
O Tm Ba
3 1 1
Cartesian
-5.2682 0.8485 -0.0279
-3.8951 3.6194 0.1202
-4.1997 1.9076 2.6779
-3.3355 1.5821 0.6928
-6.6862 3.2155 1.3780
```



DFT (GGA-PBE) results for a relaxed structure of MgBeRe2.

Output
ΔE_f, eV/atom: 0.082
Excess energy over the best structure of this formula in the dataset, eV/atom: 0.031
Space group: I-4m2
DOS(E_F), states/eV per cell: 1.1

The structure in POSCAR format:
```
MgBeRe2
1.0
-2.5636 -2.2067 -2.6233
0.9671 -3.6013 2.1021
-1.5313 3.3756 2.1409
Be Re Mg
1 2 1
Cartesian
-0.7983 -2.9043 -0.2606
-2.4465 -0.8674 -0.3715
-0.0001 -0.0003 0.0000
-0.6812 -1.5648 1.9912
```



DFT (GGA-PBE) results for a relaxed structure of YCdCl2.

Output
Excess energy over the best structure of this formula in the dataset, eV/atom: 0.418
Space group: Fm-3m
DOS(E_F), states/eV per cell: 2.4

The structure in POSCAR format:
```
YCdCl2
1.0
-1.7520 -4.3019 2.0799
0.5405 -4.4211 -2.4623
3.2620 -3.4986 1.7382
Cl Y Cd
2 1 1
Cartesian
0.5126 -3.0554 0.3389
1.5379 -9.1662 1.0168
1.0253 -6.1108 0.6779
0.0000 0.0000 0.0000
```



DFT (GGA-PBE) results for a relaxed structure of Tm3BiSbS.

Output
Raw total energy, eV per cell: -63.364
Space group: P2_1/m
DOS(E_F), states/eV per cell: 5.9

The structure in POSCAR format:
```
Tm3BiSbS
1.0
-0.4625 2.4356 -3.6397
-6.8433 4.0409 3.5737
6.8030 5.9016 3.0847
Bi Tm Sb S
2 6 2 2
Cartesian
-0.6757 9.8679 2.6931
0.1729 2.5101 0.3257
1.6294 5.4599 -0.5496
-2.1322 6.9181 3.5683
-2.1621 4.2700 -0.8641
5.0335 6.1897 2.1703
1.6593 8.1081 3.8828
-5.5363 6.1883 0.8484
2.8339 8.0908 1.0578
-3.3367 4.2873 1.9609
-3.6703 7.8183 1.7021
3.1675 4.5597 1.3167
```



DFT (GGA-PBE) results for a relaxed structure of SiP2Se.

Output
Excess energy over the best structure of this formula in the dataset, eV/atom: 0.730
Space group: P4/mmm
DOS(E_F), states/eV per cell: 1.2

The structure in POSCAR format:
```
SiP2Se
1.0
-3.7966 -1.2904 2.2049
1.2385 -4.3844 -0.4285
1.5135 0.1635 2.7017
Se P Si
1 2 1
Cartesian
-1.1415 -0.5634 2.4533
0.0000 0.0000 0.0000
-1.2790 -2.8374 0.8882
1.3760 -2.1105 1.1366
```



DFT (GGA-PBE) results for a relaxed structure of AgAu2Se.

Output
Raw total energy, eV per cell: -12.294
Space group: Pmmm
DOS(E_F), states/eV per cell: 1.4

The structure in POSCAR format:
```
AgAu2Se
1.0
-2.6703 -1.0301 -0.2503
1.3889 -3.9643 1.4966
-1.1663 1.6792 5.5306
Se Ag Au
1 1 2
Cartesian
-0.9322 -2.0774 2.0058
-1.5154 -1.2378 4.7711
-1.1556 1.6640 5.4802
-0.5938 0.8549 2.8157
```



DFT (GGA-PBE) results for a relaxed structure of YSb2Ru.

Output
Raw total energy, eV per cell: -25.297
Space group: P4mm
DOS(E_F), states/eV per cell: 1.9

The structure in POSCAR format:
```
YSb2Ru
1.0
3.2846 0.0030 0.0000
-0.0023 3.2846 0.0000
0.0000 0.0000 9.0059
Ru Sb Y
1 2 1
Cartesian
1.6411 1.6438 6.8367
0.0000 0.0000 8.2882
1.6411 1.6438 2.4878
0.0000 0.0000 4.9021
```



Number 1: M_tot 0.19 μB/f.u.. Number 2: M_tot 1.00 μB/f.u.. Number 3: M_tot 0.00 μB/f.u.. Number 4: M_tot 0.71 μB/f.u.. Number 5: M_tot 0.00 μB/f.u.. Number 6: M_tot 0.00 μB/f.u.. Number 7: M_tot 0.00 μB/f.u.. Number 8: M_tot 0.00 μB/f.u..